Entry from Alexandria: crystalline HfAu at its relaxed geometry (PBE-GGA).

a = 8.5384 Å, b = 8.5384 Å, c = 4.5742 Å
α = 90.00°, β = 90.00°, γ = 90.00°
Element x y z (fractional)
Hf 0.6855 0.0000 0.5000
Hf 0.1855 0.5000 0.0000
Hf 0.0000 0.6855 0.5000
Au 0.8309 0.1691 0.0000
Hf 0.0000 0.3145 0.5000
Au 0.6691 0.6691 0.5000
Au 0.3309 0.3309 0.5000
Hf 0.5000 0.1855 0.0000
Au 0.6691 0.3309 0.5000
Hf 0.5000 0.8145 0.0000
Au 0.1691 0.8309 0.0000
Au 0.3309 0.6691 0.5000
Hf 0.8145 0.5000 0.0000
Hf 0.3145 0.0000 0.5000
Au 0.8309 0.8309 0.0000
Au 0.1691 0.1691 0.0000

Computed properties:
Space group   I4/mmm
E_tot   -0.2577 Ha/atom
Energy of formation from the pure elements   -0.396 eV/atom



Entry from Alexandria: crystalline Li2SbMo at its relaxed geometry (PBE-GGA).

a = 4.8983 Å, b = 4.8983 Å, c = 5.3105 Å
α = 83.50°, β = 83.50°, γ = 33.96°
Element x y z (fractional)
Sb 0.7489 0.7489 0.7306
Mo 0.4966 0.4966 0.5156
Li 0.0050 0.0050 0.0172
Li 0.2495 0.2495 0.2366

Computed properties:
Space group   Cm
E_tot   -0.1650 Ha/atom



Entry from Alexandria: crystalline Sr3Pm2UAs6 at its relaxed geometry (PBE-GGA).

a = 7.4320 Å, b = 7.4320 Å, c = 7.5772 Å
α = 99.45°, β = 99.45°, γ = 119.99°
Element x y z (fractional)
As 0.3868 0.0731 0.2204
As 0.9269 0.6132 0.7796
As 0.0731 0.3868 0.2204
Sr 0.8290 0.1710 0.5000
As 0.7617 0.7617 0.2198
Sr 0.5000 0.5000 0.5000
Pm 0.3339 0.6661 0.0000
Sr 0.1710 0.8290 0.5000
As 0.6132 0.9269 0.7796
As 0.2383 0.2383 0.7802
U 0.0000 0.0000 0.0000
Pm 0.6661 0.3339 0.0000

Computed properties:
Space group   C2/m
E_tot   -0.2089 Ha/atom
Energy of formation from the pure elements   -1.207 eV/atom



Entry from Alexandria: crystalline Hf3Ru2 at its relaxed geometry (PBE-GGA).

a = 3.2380 Å, b = 3.2380 Å, c = 17.2127 Å
α = 90.00°, β = 90.00°, γ = 90.00°
Element x y z (fractional)
Hf 0.0000 0.0000 0.5000
Ru 0.5000 0.5000 0.2172
Hf 0.0000 0.0000 0.3106
Hf 0.5000 0.5000 0.0000
Hf 0.0000 0.0000 0.1220
Hf 0.0000 0.0000 0.6894
Ru 0.5000 0.5000 0.4056
Hf 0.0000 0.0000 0.8780
Ru 0.5000 0.5000 0.7828
Ru 0.5000 0.5000 0.5944

Computed properties:
Space group   P4/mmm
E_tot   -0.3793 Ha/atom
Energy of formation from the pure elements   -0.638 eV/atom



Entry from Alexandria: crystalline KCd2Tc at its relaxed geometry (PBE-GGA).

a = 5.1326 Å, b = 5.1326 Å, c = 5.1326 Å
α = 60.00°, β = 60.00°, γ = 60.00°
Each line ends with the local moment (μB).
Element x y z (fractional)
Cd 0.2500 0.2500 0.2500  -0.02
Cd 0.0000 0.0000 0.0000  -0.04
Tc 0.7500 0.7500 0.7500  2.66
K 0.5000 0.5000 0.5000  0.02

Computed properties:
Space group   F-43m
Energy relative to the lowest polymorph listed for this composition   443.3 meV/atom
E_tot   -0.0876 Ha/atom
Energy of formation from the pure elements   0.939 eV/atom



Entry from Alexandria: crystalline BaNpMoN4 at its relaxed geometry (PBE-GGA).

a = 6.0343 Å, b = 5.9547 Å, c = 7.4856 Å
α = 90.00°, β = 107.81°, γ = 90.00°
Each line ends with the local moment (μB).
Element x y z (fractional)
Ba 0.2889 0.2500 0.0706  0.01
Np 0.1956 0.2500 0.5442  3.03
N 0.5130 0.2500 0.4341  -0.06
Np 0.8044 0.7500 0.4558  3.03
N 0.5422 0.2500 0.8143  -0.04
N 0.9544 0.0095 0.6812  -0.09
Ba 0.7111 0.7500 0.9294  0.01
N 0.0456 0.9905 0.3188  -0.09
N 0.4870 0.7500 0.5659  -0.06
N 0.9544 0.4905 0.6812  -0.09
N 0.0456 0.5095 0.3188  -0.09
Mo 0.2616 0.7500 0.3382  0.15
N 0.4578 0.7500 0.1857  -0.04
Mo 0.7384 0.2500 0.6618  0.15

Computed properties:
Space group   P2_1/m
E_tot   -0.3364 Ha/atom



Entry from Alexandria: crystalline NaTlTc3 at its relaxed geometry (PBE-GGA).

a = 4.6061 Å, b = 4.6061 Å, c = 4.6061 Å
α = 90.00°, β = 90.00°, γ = 90.00°
Each line ends with the local moment (μB).
Element x y z (fractional)
Na 0.0000 0.0000 0.0000  0.04
Tc 0.0000 0.0000 0.5000  1.73
Tl 0.5000 0.5000 0.5000  -0.05
Tc 0.0000 0.5000 0.0000  1.61
Tc 0.5000 0.0000 0.0000  1.61

Computed properties:
Space group   Pm-3m
Energy relative to the lowest polymorph listed for this composition   9.7 meV/atom
E_tot   -0.1689 Ha/atom
Energy of formation from the pure elements   2.360 eV/atom



Entry from Alexandria: crystalline TlSn2Pd2 at its relaxed geometry (PBE-GGA).

a = 4.7923 Å, b = 4.7923 Å, c = 6.2687 Å
α = 67.53°, β = 67.53°, γ = 90.00°
Element x y z (fractional)
Sn 0.3618 0.3618 0.2764
Pd 0.2500 0.7500 0.5000
Sn 0.6382 0.6382 0.7236
Tl 0.0000 0.0000 0.0000
Pd 0.7500 0.2500 0.5000

Computed properties:
Space group   I4/mmm
Energy relative to the lowest polymorph listed for this composition   23.0 meV/atom
E_tot   -0.1615 Ha/atom
Energy of formation from the pure elements   -0.244 eV/atom